The following is a PBE calculation of a relaxed structure of KBi2As, from Alexandria via LeMat-Bulk.

Unit cell a=9.146 b=9.146 c=6.493 alpha=90.00 beta=90.00 gamma=90.00
Space group I-42d (No. 122)
One atom of each set of equivalent atoms:
K1 0.000 0.000 0.000 [4 per cell]
Bi1 0.188 0.250 0.625 [8 per cell]
As1 0.000 0.000 0.500 [4 per cell]

Results
E_form   -51 meV/atom

---

The following is a PBE calculation of a relaxed structure of K2BiAs2, from Alexandria via LeMat-Bulk.

Unit cell a=7.650 b=7.650 c=5.275 alpha=90.00 beta=90.00 gamma=90.00
Space group P4/mbm (No. 127)
One atom of each set of equivalent atoms:
K1 0.179 0.321 0.000 [4 per cell]
Bi1 0.000 0.000 0.500 [2 per cell]
As1 0.114 0.614 0.500 [4 per cell]

Results
E_form   -337 meV/atom

---

The following is a PBE calculation of a relaxed structure of K2BiAs2, from Alexandria via LeMat-Bulk.

Unit cell a=4.844 b=4.844 c=13.256 alpha=90.00 beta=90.00 gamma=90.00
Space group I4/mmm (No. 139)
One atom of each set of equivalent atoms:
K1 0.000 0.500 0.250 [4 per cell]
Bi1 0.000 0.000 0.000 [2 per cell]
As1 0.000 0.000 0.412 [4 per cell]

Results
E_form   85 meV/atom

---

The following is a PBE calculation of a relaxed structure of K8Bi2As, from Alexandria via LeMat-Bulk.

Unit cell a=20.626 b=6.019 c=8.216 alpha=90.00 beta=111.52 gamma=90.00
Space group C2/m (No. 12)
One atom of each set of equivalent atoms:
K1 0.014 0.000 0.282 [4 per cell]
K2 0.104 0.500 0.916 [4 per cell]
K3 0.154 0.500 0.438 [4 per cell]
K4 0.207 0.000 0.772 [4 per cell]
Bi1 0.174 0.000 0.180 [4 per cell]
As1 0.000 0.500 0.500 [2 per cell]

Results
E_form   -329 meV/atom

---

The following is a PBE calculation of a relaxed structure of K8BiAs2, from Alexandria via LeMat-Bulk.

Unit cell a=5.610 b=8.930 c=16.973 alpha=90.00 beta=90.00 gamma=90.00
Space group Immm (No. 71)
One atom of each set of equivalent atoms:
K1 0.000 0.000 0.158 [4 per cell]
K2 0.000 0.221 0.337 [8 per cell]
K3 0.000 0.302 0.000 [4 per cell]
Bi1 0.000 0.500 0.500 [2 per cell]
As1 0.000 0.500 0.185 [4 per cell]

Results
E_form   -310 meV/atom

---

The following is a PBE calculation of a relaxed structure of K2BiAs, from Alexandria via LeMat-Bulk.

Unit cell a=8.097 b=8.097 c=8.097 alpha=90.00 beta=90.00 gamma=90.00
Space group Fm-3m (No. 225)
One atom of each set of equivalent atoms:
K1 0.250 0.250 0.250 [8 per cell]
Bi1 0.000 0.000 0.000 [4 per cell]
As1 0.000 0.000 0.500 [4 per cell]

Results
E_form   12 meV/atom

---

- Look up the E_form of the second one.
  -337 meV/atom